CeMg2Sc4 | the Alexandria database | PBE-GGA | optimized geometry; energy above the most stable polymorph in this dataset = 575.2 meV/atom; D(E_F) = 11.65 states/eV per cell; ΔE_f = 0.62 eV/atom
1.0
-0.726 1.677 -4.674
-4.939 0.248 0.856
3.613 6.165 4.346
Mg Ce Sc
2 1 4
direct
0.379 0.379 0.758
0.621 0.621 0.242
0.000 0.000 0.000
0.823 0.823 0.647
0.177 0.177 0.353
0.500 0.000 0.000
0.000 0.500 0.000

---

InRePCl2 | the Alexandria database | PBE-GGA | optimized geometry; energy above the most stable polymorph in this dataset = 944.0 meV/atom; D(E_F) = 1.67 states/eV per cell; formation energy from raw total energies = 102 kJ/mol of atoms
1.0
4.965 0.000 0.000
0.000 4.965 0.000
0.000 0.000 5.374
Re Cl In P
1 2 1 1
direct
0.500 0.500 0.500
0.500 0.000 0.000
0.000 0.500 0.000
0.000 0.000 0.000
0.000 0.000 0.500

---

HoTm2ThS4 | the Alexandria database | PBE-GGA | optimized geometry; D(E_F) = 3.25 states/eV per cell; formation energy from raw total energies = -183 kJ/mol of atoms
1.0
3.869 0.000 0.000
0.000 6.819 -0.172
0.000 2.364 6.334
S Ho Th Tm
4 1 1 2
direct
0.500 0.760 0.254
0.500 0.240 0.746
0.000 0.765 0.738
0.000 0.235 0.262
0.000 0.500 0.500
0.500 0.500 0.000
0.000 0.000 0.000
0.500 0.000 0.500

---

Mg2Ag | the Alexandria database | PBE-GGA | optimized geometry; D(E_F) = 1.79 states/eV per cell; ΔE_f = -0.15 eV/atom
1.0
5.506 -0.032 0.000
-2.636 4.834 0.000
-1.435 -2.401 4.743
Mg Ag
4 2
direct
0.166 0.334 0.500
0.334 0.834 0.169
0.666 0.166 0.831
0.834 0.666 0.500
0.750 0.750 0.000
0.250 0.250 0.000

---

Zr6InTc5 | the Alexandria database | PBE-GGA | optimized geometry; D(E_F) = 6.88 states/eV per cell; ΔE_f = -0.36 eV/atom
1.0
4.498 0.019 -1.313
-0.927 5.934 -3.090
-0.069 0.380 8.132
Tc Zr In
5 6 1
direct
0.668 0.668 0.335
0.000 0.500 0.000
0.338 0.838 0.676
0.332 0.332 0.665
0.662 0.162 0.324
0.827 0.086 0.655
0.500 0.269 0.000
0.500 0.731 0.000
0.827 0.569 0.655
0.173 0.914 0.345
0.173 0.431 0.345
0.000 0.000 0.000

---

ZnCl5 | the Alexandria database | PBE-GGA | optimized geometry; energy above the most stable polymorph in this dataset = 592.4 meV/atom; D(E_F) = 5.12 states/eV per cell; formation energy from raw total energies = 19 kJ/mol of atoms
1.0
2.521 -4.367 0.000
2.521 4.367 0.000
0.000 0.000 8.377
Cl Zn
5 1
direct
0.500 0.500 0.500
0.500 0.000 0.500
0.667 0.333 0.000
0.333 0.667 0.000
0.000 0.500 0.500
0.000 0.000 0.000

---

ErCdPb6 | the Alexandria database | PBE-GGA | optimized geometry; D(E_F) = 4.45 states/eV per cell; ΔE_f = -0.07 eV/atom
1.0
-2.239 -2.883 -3.596
-0.655 -5.056 4.461
-6.062 2.375 1.872
Pb Cd Er
6 1 1
direct
0.000 0.250 0.250
0.000 0.746 0.254
0.000 0.750 0.750
0.500 0.500 0.000
0.000 0.254 0.746
0.500 0.000 0.500
0.500 0.500 0.500
0.500 0.000 0.000

---

LaRu2Pt | the Alexandria database | PBE-GGA | optimized geometry; energy above the most stable polymorph in this dataset = 302.1 meV/atom; D(E_F) = 5.26 states/eV per cell; ΔE_f = 0.14 eV/atom
1.0
-0.311 -3.233 -4.567
4.688 2.929 0.923
2.026 -2.076 0.485
Ru La Pt
2 1 1
direct
0.000 0.000 0.000
0.500 0.500 0.000
0.500 0.000 0.500
0.000 0.500 0.500

---

CsB2Se3 | the Alexandria database | PBE-GGA | optimized geometry; D(E_F) = 1.45 states/eV per cell; formation energy from raw total energies = -11 kJ/mol of atoms
1.0
-0.176 1.234 3.719
-7.382 2.011 -1.016
5.939 -12.474 2.350
Se B Cs
6 4 2
direct
0.995 0.190 0.991
0.790 0.721 0.580
0.005 0.810 0.009
0.617 0.328 0.233
0.210 0.279 0.420
0.383 0.672 0.767
0.699 0.382 0.398
0.934 0.831 0.867
0.066 0.169 0.133
0.301 0.618 0.602
0.605 0.764 0.210
0.395 0.236 0.790

---

Ti2SnRh2 | the Alexandria database | PBE-GGA | optimized geometry; D(E_F) = 1.52 states/eV per cell; ΔE_f = -0.46 eV/atom
1.0
-3.562 0.964 2.033
1.849 -0.915 3.674
0.728 4.967 3.286
Sn Rh Ti
1 2 2
direct
0.000 0.000 0.000
0.621 0.621 0.757
0.379 0.379 0.243
0.250 0.750 0.500
0.750 0.250 0.500

---

HoSc6Tl | the Alexandria database | PBE-GGA | optimized geometry; energy above the most stable polymorph in this dataset = 87.2 meV/atom; D(E_F) = 12.69 states/eV per cell; ΔE_f = 0.03 eV/atom
1.0
5.610 0.651 -1.448
-1.483 5.449 -1.448
-2.413 -3.567 8.123
Sc Tl Ho
6 1 1
direct
0.040 0.040 0.691
0.265 0.636 0.787
0.364 0.735 0.213
0.735 0.364 0.213
0.960 0.960 0.309
0.636 0.265 0.787
0.000 0.000 0.000
0.500 0.500 0.500

---

SrSbRu | the Alexandria database | PBE-GGA | optimized geometry; D(E_F) = 2.53 states/eV per cell; formation energy from raw total energies = -21 kJ/mol of atoms
1.0
6.434 -0.001 0.001
5.499 3.340 0.004
0.935 0.258 3.331
Sr Ru Sb
1 1 1
direct
0.659 0.659 0.341
0.969 0.969 0.031
0.372 0.372 0.628

---

Ac2MgAg4Ge3 | the Alexandria database | PBE-GGA | optimized geometry; D(E_F) = 5.17 states/eV per cell; ΔE_f = -0.40 eV/atom
1.0
-2.498 1.711 -3.329
3.262 -0.966 -2.945
-4.633 -10.223 -1.779
Ag Ac Ge Mg
4 2 3 1
direct
0.000 0.000 0.000
0.500 0.000 0.636
0.000 0.500 0.364
0.500 0.500 0.000
0.500 0.000 0.235
0.000 0.500 0.765
0.000 0.500 0.135
0.500 0.000 0.865
0.000 0.000 0.500
0.500 0.500 0.500

---

SmZnGePt3 | the Alexandria database | PBE-GGA | optimized geometry; D(E_F) = 3.14 states/eV per cell; ΔE_f = -0.64 eV/atom
1.0
-1.754 5.129 1.613
-4.675 -0.022 -5.014
-1.627 -2.511 6.215
Ge Zn Pt Sm
2 2 6 2
direct
0.250 0.372 0.744
0.750 0.628 0.256
0.750 0.048 0.096
0.250 0.952 0.904
0.750 0.828 0.657
0.500 0.708 0.000
0.000 0.708 0.000
0.500 0.292 0.000
0.000 0.292 0.000
0.250 0.172 0.343
0.250 0.705 0.410
0.750 0.295 0.590

---

Ho2Ni3Ge5 | the Alexandria database | PBE-GGA | optimized geometry; energy above the most stable polymorph in this dataset = 0.0 meV/atom; D(E_F) = 6.10 states/eV per cell; ΔE_f = -0.62 eV/atom
1.0
5.883 0.000 0.000
2.941 7.568 0.044
2.941 1.211 7.470
Ho Ge Ni
4 10 6
direct
0.364 0.869 0.404
0.636 0.131 0.596
0.136 0.596 0.131
0.864 0.404 0.869
0.597 0.741 0.064
0.903 0.936 0.259
0.979 0.771 0.771
0.750 0.500 0.500
0.479 0.771 0.771
0.097 0.064 0.741
0.403 0.259 0.936
0.521 0.229 0.229
0.021 0.229 0.229
0.250 0.500 0.500
0.250 0.000 0.000
0.750 0.000 0.000
0.138 0.253 0.470
0.362 0.530 0.747
0.638 0.470 0.253
0.862 0.747 0.530

---

CePuZr2 | the Alexandria database | PBE-GGA | optimized geometry; energy above the most stable polymorph in this dataset = 35.0 meV/atom; D(E_F) = 10.08 states/eV per cell; ΔE_f = 0.13 eV/atom
1.0
3.170 0.000 0.000
0.000 3.170 0.000
0.000 0.000 9.860
Ce Zr Pu
1 2 1
direct
0.500 0.500 0.500
0.000 0.000 0.241
0.000 0.000 0.759
0.500 0.500 0.000

---

Zn2CoCu2 | the Alexandria database | PBE-GGA | optimized geometry; energy above the most stable polymorph in this dataset = 119.2 meV/atom; D(E_F) = 5.17 states/eV per cell; ΔE_f = 0.16 eV/atom
1.0
-0.971 5.851 -3.639
-6.793 -0.197 1.496
0.448 1.460 2.229
Co Cu Zn
2 4 4
direct
0.000 0.000 0.000
0.500 0.500 0.000
0.336 0.164 0.500
0.164 0.664 0.500
0.664 0.836 0.500
0.836 0.336 0.500
0.135 0.365 0.000
0.365 0.865 0.000
0.635 0.135 0.000
0.865 0.635 0.000

---

BeCu2Si | the Alexandria database | PBE-GGA | optimized geometry; D(E_F) = 2.07 states/eV per cell; formation energy from raw total energies = 16 kJ/mol of atoms
1.0
-1.509 -0.999 3.600
0.754 -3.637 1.562
2.447 -0.359 3.181
Si Cu Be
1 2 1
direct
0.750 0.750 0.750
0.000 0.000 0.000
0.250 0.250 0.250
0.500 0.500 0.500

---

RbTi3Mn | the Alexandria database | PBE-GGA | optimized geometry; energy above the most stable polymorph in this dataset = 1675.3 meV/atom; D(E_F) = 14.24 states/eV per cell; ΔE_f = 2.49 eV/atom
1.0
-2.627 1.829 3.311
-3.725 -1.952 -1.877
0.658 -3.749 2.593
Rb Ti Mn
1 3 1
direct
0.000 0.000 0.000
0.000 0.500 0.000
0.500 0.000 0.000
0.000 0.000 0.500
0.500 0.500 0.500

---

HPdBr2 | the Alexandria database | PBE-GGA | optimized geometry; energy above the most stable polymorph in this dataset = 55.3 meV/atom; D(E_F) = 0.25 states/eV per cell
1.0
-1.302 0.925 -3.496
3.321 -3.553 -0.059
-4.037 -3.870 0.482
Pd H Br
1 1 2
direct
0.584 0.925 0.552
0.084 0.925 0.052
0.202 0.160 0.807
0.966 0.689 0.297